Record 1
## Sr4ZnOs (PBE-GGA)

Data for Sr4ZnOs after structural relaxation. Values from VASP.

The structure in Quantum ESPRESSO input format:
```
&SYSTEM
  ibrav = 0, nat = 6, ntyp = 3
/
ATOMIC_SPECIES
Sr 87.62 Sr.upf
Zn 65.41 Zn.upf
Os 190.23 Os.upf
CELL_PARAMETERS angstrom
0.000 4.602 4.602
4.602 0.000 4.602
4.602 4.602 0.000
ATOMIC_POSITIONS crystal
Sr 0.376 0.376 0.376
Sr 0.376 0.376 0.871
Sr 0.376 0.871 0.376
Sr 0.871 0.376 0.376
Zn 0.000 0.000 0.000
Os 0.750 0.750 0.750
```

Properties
raw total energy = -11.8 eV per cell
D(E_F) = 8.03 states/eV/f.u.
crystal system = cubic
calculated formation energy = 1.235 eV per atom

Record 2
## LiMnS2N (PBE-GGA)

Data for LiMnS2N after structural relaxation. Values from VASP.

The structure in Quantum ESPRESSO input format:
```
&SYSTEM
  ibrav = 0, nat = 5, ntyp = 4
/
ATOMIC_SPECIES
Li 6.94 Li.upf
Mn 54.94 Mn.upf
S 32.06 S.upf
N 14.01 N.upf
CELL_PARAMETERS angstrom
4.352 0.000 0.000
0.000 4.352 0.000
0.000 0.000 3.396
ATOMIC_POSITIONS crystal
Li 0.000 0.000 0.000
Mn 0.500 0.500 0.500
S 0.000 0.500 0.000
S 0.500 0.000 0.000
N 0.000 0.000 0.500
```

Properties
raw total energy = -21.3 eV per cell
D(E_F) = 6.21 states/eV/f.u.
formation energy without anion corrections = 1.2819 eV/atom
crystal system = tetragonal

Record 3
## Tl3Ag2HgCl9 (PBE-GGA)

Data for Tl3Ag2HgCl9 after structural relaxation. Values from VASP.

The structure in Quantum ESPRESSO input format:
```
&SYSTEM
  ibrav = 0, nat = 15, ntyp = 4
/
ATOMIC_SPECIES
Tl 204.38 Tl.upf
Ag 107.87 Ag.upf
Hg 200.59 Hg.upf
Cl 35.45 Cl.upf
CELL_PARAMETERS angstrom
7.322 0.000 0.000
-3.661 6.341 0.000
0.000 0.000 9.000
ATOMIC_POSITIONS crystal
Tl 0.000 0.000 0.000
Tl 0.333 0.667 0.681
Tl 0.667 0.333 0.319
Ag 0.333 0.667 0.162
Ag 0.667 0.333 0.838
Hg 0.000 0.000 0.500
Cl 0.000 0.500 0.000
Cl 0.168 0.336 0.327
Cl 0.168 0.832 0.327
Cl 0.336 0.168 0.673
Cl 0.500 0.000 0.000
Cl 0.500 0.500 0.000
Cl 0.664 0.832 0.327
Cl 0.832 0.168 0.673
Cl 0.832 0.664 0.673
```

Properties
raw total energy = -39.6 eV per cell
D(E_F) = 3.34 states/eV/f.u.
formation energy without anion corrections = -0.6582 eV/atom
crystal system = trigonal

Record 4
## ErTiAl (PBE-GGA)

Data for ErTiAl after structural relaxation. Values from VASP.

The structure in Quantum ESPRESSO input format:
```
&SYSTEM
  ibrav = 0, nat = 3, ntyp = 3
/
ATOMIC_SPECIES
Er 167.26 Er.upf
Ti 47.87 Ti.upf
Al 26.98 Al.upf
CELL_PARAMETERS angstrom
4.874 0.000 0.000
-2.437 4.221 0.000
0.000 0.000 2.962
ATOMIC_POSITIONS crystal
Er 0.000 0.000 0.000
Ti 0.333 0.667 0.002
Al 0.667 0.333 0.500
```

Properties
raw total energy = -16.0 eV per cell
D(E_F) = 3.37 states/eV/f.u.
crystal system = trigonal
calculated formation energy = 0.063 eV per atom

Record 5
## NaCaHfMoPd (PBE-GGA)

Data for NaCaHfMoPd after structural relaxation. Values from VASP.

The structure in Quantum ESPRESSO input format:
```
&SYSTEM
  ibrav = 0, nat = 10, ntyp = 5
/
ATOMIC_SPECIES
Na 22.99 Na.upf
Ca 40.08 Ca.upf
Hf 178.49 Hf.upf
Mo 95.94 Mo.upf
Pd 106.42 Pd.upf
CELL_PARAMETERS angstrom
15.430 0.000 0.000
0.000 5.077 0.000
-0.013 0.000 3.074
ATOMIC_POSITIONS crystal
Na 0.000 0.000 0.000
Na 0.500 0.500 0.000
Ca 0.168 0.500 0.993
Ca 0.668 0.000 0.993
Hf 0.337 0.000 0.998
Hf 0.837 0.500 0.998
Mo 0.197 0.000 0.495
Mo 0.697 0.500 0.495
Pd 0.332 0.500 0.497
Pd 0.832 0.000 0.497
```

Properties
raw total energy = -55.7 eV per cell
D(E_F) = 3.56 states/eV/f.u.
crystal system = monoclinic
calculated formation energy = 0.288 eV per atom

Record 6
## Tl2Pd9Pt (PBE-GGA)

Data for Tl2Pd9Pt after structural relaxation. Values from VASP.

The structure in Quantum ESPRESSO input format:
```
&SYSTEM
  ibrav = 0, nat = 12, ntyp = 3
/
ATOMIC_SPECIES
Tl 204.38 Tl.upf
Pd 106.42 Pd.upf
Pt 195.08 Pt.upf
CELL_PARAMETERS angstrom
4.035 0.000 0.000
0.000 4.035 0.000
0.000 0.000 12.129
ATOMIC_POSITIONS crystal
Tl 0.000 0.000 0.170
Tl 0.000 0.000 0.830
Pd 0.000 0.500 0.000
Pd 0.000 0.500 0.340
Pd 0.000 0.500 0.660
Pd 0.500 0.000 0.000
Pd 0.500 0.000 0.340
Pd 0.500 0.000 0.660
Pd 0.500 0.500 0.171
Pd 0.500 0.500 0.500
Pd 0.500 0.500 0.829
Pt 0.000 0.000 0.500
```

Properties
raw total energy = -59.0 eV per cell
D(E_F) = 18.24 states/eV/f.u.
crystal system = tetragonal
calculated formation energy = -0.127 eV per atom

Record 7
## Pt2PbW (PBE-GGA)

Data for Pt2PbW after structural relaxation. Values from VASP.

The structure in Quantum ESPRESSO input format:
```
&SYSTEM
  ibrav = 0, nat = 8, ntyp = 3
/
ATOMIC_SPECIES
Pt 195.08 Pt.upf
Pb 207.20 Pb.upf
W 183.84 W.upf
CELL_PARAMETERS angstrom
9.014 0.000 0.000
0.000 3.168 0.000
-0.855 0.000 5.206
ATOMIC_POSITIONS crystal
Pt 0.000 0.000 0.000
Pt 0.245 0.500 0.246
Pt 0.500 0.500 0.000
Pt 0.745 0.000 0.246
Pb 0.003 0.500 0.515
Pb 0.503 0.000 0.515
W 0.266 0.000 0.841
W 0.766 0.500 0.841
```

Properties
raw total energy = -55.9 eV per cell
D(E_F) = 1.73 states/eV/f.u.
crystal system = monoclinic
calculated formation energy = 0.201 eV per atom

Record 8
## AcDyGaIr (PBE-GGA)

Data for AcDyGaIr after structural relaxation. Values from VASP.

The structure in Quantum ESPRESSO input format:
```
&SYSTEM
  ibrav = 0, nat = 16, ntyp = 4
/
ATOMIC_SPECIES
Ac 227.00 Ac.upf
Dy 162.50 Dy.upf
Ga 69.72 Ga.upf
Ir 192.22 Ir.upf
CELL_PARAMETERS angstrom
7.342 0.000 0.000
0.000 7.342 0.000
0.000 0.000 7.342
ATOMIC_POSITIONS crystal
Ac 0.000 0.000 0.000
Ac 0.000 0.500 0.500
Ac 0.500 0.000 0.500
Ac 0.500 0.500 0.000
Dy 0.000 0.000 0.500
Dy 0.000 0.500 0.000
Dy 0.500 0.000 0.000
Dy 0.500 0.500 0.500
Ga 0.250 0.250 0.250
Ga 0.250 0.750 0.750
Ga 0.750 0.250 0.750
Ga 0.750 0.750 0.250
Ir 0.250 0.250 0.750
Ir 0.250 0.750 0.250
Ir 0.750 0.250 0.250
Ir 0.750 0.750 0.750
```

Properties
raw total energy = -89.7 eV per cell
D(E_F) = 4.05 states/eV/f.u.
crystal system = cubic
calculated formation energy = -0.457 eV per atom

Record 9
## RbZnCl3 (PBE-GGA)

Data for RbZnCl3 after structural relaxation. Values from VASP.

The structure in Quantum ESPRESSO input format:
```
&SYSTEM
  ibrav = 0, nat = 10, ntyp = 3
/
ATOMIC_SPECIES
Rb 85.47 Rb.upf
Zn 65.41 Zn.upf
Cl 35.45 Cl.upf
CELL_PARAMETERS angstrom
7.113 0.000 0.000
0.000 6.029 0.000
-3.187 0.000 8.051
ATOMIC_POSITIONS crystal
Rb 0.048 0.000 0.253
Rb 0.952 0.500 0.747
Zn 0.487 0.075 0.856
Zn 0.513 0.575 0.144
Cl 0.187 0.989 0.663
Cl 0.217 0.498 0.170
Cl 0.489 0.469 0.876
Cl 0.511 0.969 0.124
Cl 0.783 0.998 0.830
Cl 0.813 0.489 0.337
```

Properties
raw total energy = -30.8 eV per cell
D(E_F) = 0.00 states/eV/f.u.
formation energy without anion corrections = -1.5192 eV/atom
crystal system = monoclinic

Record 10
## MgBe2As2 (PBE-GGA)

Data for MgBe2As2 after structural relaxation. Values from VASP.

The structure in Quantum ESPRESSO input format:
```
&SYSTEM
  ibrav = 0, nat = 10, ntyp = 3
/
ATOMIC_SPECIES
Mg 24.30 Mg.upf
Be 9.01 Be.upf
As 74.92 As.upf
CELL_PARAMETERS angstrom
3.607 0.000 0.000
0.000 3.607 0.000
0.000 0.000 12.600
ATOMIC_POSITIONS crystal
Mg 0.000 0.000 0.000
Mg 0.500 0.500 0.500
Be 0.000 0.500 0.250
Be 0.000 0.500 0.750
Be 0.500 0.000 0.250
Be 0.500 0.000 0.750
As 0.000 0.000 0.365
As 0.000 0.000 0.635
As 0.500 0.500 0.135
As 0.500 0.500 0.865
```

Properties
raw total energy = -37.9 eV per cell
D(E_F) = 1.51 states/eV/f.u.
crystal system = tetragonal
calculated formation energy = -0.123 eV per atom

Record 11
## SrLaCu2S4 (PBE-GGA)

Data for SrLaCu2S4 after structural relaxation. Values from VASP.

The structure in Quantum ESPRESSO input format:
```
&SYSTEM
  ibrav = 0, nat = 16, ntyp = 4
/
ATOMIC_SPECIES
Sr 87.62 Sr.upf
La 138.91 La.upf
Cu 63.55 Cu.upf
S 32.06 S.upf
CELL_PARAMETERS angstrom
6.673 0.000 0.000
0.000 6.673 0.000
0.000 0.000 7.712
ATOMIC_POSITIONS crystal
Sr 0.000 0.000 0.000
Sr 0.500 0.500 0.500
La 0.000 0.000 0.500
La 0.500 0.500 0.000
Cu 0.000 0.500 0.250
Cu 0.000 0.500 0.750
Cu 0.500 0.000 0.250
Cu 0.500 0.000 0.750
S 0.250 0.250 0.250
S 0.250 0.250 0.750
S 0.250 0.750 0.250
S 0.250 0.750 0.750
S 0.750 0.250 0.250
S 0.750 0.250 0.750
S 0.750 0.750 0.250
S 0.750 0.750 0.750
```

Properties
raw total energy = -82.3 eV per cell
D(E_F) = 0.28 states/eV/f.u.
formation energy without anion corrections = -1.2280 eV/atom
crystal system = tetragonal

Record 12
## GdScGe (PBE-GGA)

Data for GdScGe after structural relaxation. Values from VASP.

The structure in Quantum ESPRESSO input format:
```
&SYSTEM
  ibrav = 0, nat = 12, ntyp = 3
/
ATOMIC_SPECIES
Gd 157.25 Gd.upf
Sc 44.96 Sc.upf
Ge 72.64 Ge.upf
CELL_PARAMETERS angstrom
4.246 0.000 0.000
0.000 4.246 0.000
0.000 0.000 15.701
ATOMIC_POSITIONS crystal
Gd 0.000 0.000 0.177
Gd 0.000 0.000 0.823
Gd 0.500 0.500 0.323
Gd 0.500 0.500 0.677
Sc 0.000 0.500 0.000
Sc 0.000 0.500 0.500
Sc 0.500 0.000 0.000
Sc 0.500 0.000 0.500
Ge 0.000 0.000 0.374
Ge 0.000 0.000 0.626
Ge 0.500 0.500 0.126
Ge 0.500 0.500 0.874
```

Properties
raw total energy = -109.2 eV per cell
D(E_F) = 2.71 states/eV/f.u.
crystal system = tetragonal
calculated formation energy = -0.755 eV per atom

Record 13
## SrAgN (PBE-GGA)

Data for SrAgN after structural relaxation. Values from VASP.

The structure in Quantum ESPRESSO input format:
```
&SYSTEM
  ibrav = 0, nat = 12, ntyp = 3
/
ATOMIC_SPECIES
Sr 87.62 Sr.upf
Ag 107.87 Ag.upf
N 14.01 N.upf
CELL_PARAMETERS angstrom
7.004 0.000 0.000
0.000 5.357 0.000
-3.288 0.000 6.598
ATOMIC_POSITIONS crystal
Sr 0.031 0.000 0.289
Sr 0.469 0.500 0.711
Sr 0.531 0.500 0.289
Sr 0.969 0.000 0.711
Ag 0.000 0.500 0.000
Ag 0.000 0.500 0.500
Ag 0.500 0.000 0.000
Ag 0.500 0.000 0.500
N 0.176 0.500 0.319
N 0.324 0.000 0.681
N 0.676 0.000 0.319
N 0.824 0.500 0.681
```

Properties
raw total energy = -52.3 eV per cell
D(E_F) = 0.00 states/eV/f.u.
formation energy without anion corrections = -0.0687 eV/atom
crystal system = monoclinic

Record 14
## NbFeSbTe2 (PBE-GGA)

Data for NbFeSbTe2 after structural relaxation. Values from VASP.

The structure in Quantum ESPRESSO input format:
```
&SYSTEM
  ibrav = 0, nat = 5, ntyp = 4
/
ATOMIC_SPECIES
Nb 92.91 Nb.upf
Fe 55.84 Fe.upf
Sb 121.76 Sb.upf
Te 127.60 Te.upf
CELL_PARAMETERS angstrom
5.116 0.000 0.000
0.000 5.116 0.000
0.000 0.000 4.732
ATOMIC_POSITIONS crystal
Nb 0.000 0.000 0.000
Fe 0.500 0.500 0.500
Sb 0.500 0.500 0.000
Te 0.000 0.500 0.500
Te 0.500 0.000 0.500
```

Properties
raw total energy = -25.1 eV per cell
D(E_F) = 4.25 states/eV/f.u.
formation energy without anion corrections = 0.7620 eV/atom
crystal system = tetragonal

Record 15
## Mn2CdNi2 (PBE-GGA)

Data for Mn2CdNi2 after structural relaxation. Values from VASP.

The structure in Quantum ESPRESSO input format:
```
&SYSTEM
  ibrav = 0, nat = 10, ntyp = 3
/
ATOMIC_SPECIES
Mn 54.94 Mn.upf
Cd 112.41 Cd.upf
Ni 58.69 Ni.upf
CELL_PARAMETERS angstrom
3.790 0.000 0.000
0.000 3.790 0.000
0.000 0.000 9.600
ATOMIC_POSITIONS crystal
Mn 0.000 0.000 0.102
Mn 0.000 0.000 0.898
Mn 0.500 0.500 0.398
Mn 0.500 0.500 0.602
Cd 0.000 0.000 0.500
Cd 0.500 0.500 0.000
Ni 0.000 0.500 0.250
Ni 0.000 0.500 0.750
Ni 0.500 0.000 0.250
Ni 0.500 0.000 0.750
```

Properties
raw total energy = -57.6 eV per cell
D(E_F) = 5.15 states/eV/f.u.
crystal system = tetragonal
calculated formation energy = 0.401 eV per atom

Record 16
## BeIn2TcTe (PBE-GGA)

Data for BeIn2TcTe after structural relaxation. Values from VASP.

The structure in Quantum ESPRESSO input format:
```
&SYSTEM
  ibrav = 0, nat = 5, ntyp = 4
/
ATOMIC_SPECIES
Be 9.01 Be.upf
In 114.82 In.upf
Tc 98.00 Tc.upf
Te 127.60 Te.upf
CELL_PARAMETERS angstrom
5.337 0.000 0.000
0.000 5.337 0.000
0.000 0.000 4.375
ATOMIC_POSITIONS crystal
Be 0.000 0.000 0.000
In 0.000 0.500 0.500
In 0.500 0.000 0.500
Tc 0.000 0.000 0.500
Te 0.500 0.500 0.000
```

Properties
raw total energy = -19.3 eV per cell
D(E_F) = 4.62 states/eV/f.u.
formation energy without anion corrections = 0.6797 eV/atom
crystal system = tetragonal

Record 17
## BaMg2Ni (PBE-GGA)

Data for BaMg2Ni after structural relaxation. Values from VASP.

The structure in Quantum ESPRESSO input format:
```
&SYSTEM
  ibrav = 0, nat = 8, ntyp = 3
/
ATOMIC_SPECIES
Ba 137.33 Ba.upf
Mg 24.30 Mg.upf
Ni 58.69 Ni.upf
CELL_PARAMETERS angstrom
6.055 0.000 0.000
0.000 11.892 0.000
-1.897 0.000 2.953
ATOMIC_POSITIONS crystal
Ba 0.000 0.000 0.000
Ba 0.500 0.500 0.000
Mg 0.250 0.250 0.500
Mg 0.250 0.750 0.500
Mg 0.750 0.250 0.500
Mg 0.750 0.750 0.500
Ni 0.000 0.500 0.000
Ni 0.500 0.000 0.000
```

Properties
raw total energy = -18.7 eV per cell
D(E_F) = 3.48 states/eV/f.u.
crystal system = monoclinic
calculated formation energy = 0.381 eV per atom

Record 18
## LaTc2C3 (PBE-GGA)

Data for LaTc2C3 after structural relaxation. Values from VASP.

The structure in Quantum ESPRESSO input format:
```
&SYSTEM
  ibrav = 0, nat = 12, ntyp = 3
/
ATOMIC_SPECIES
La 138.91 La.upf
Tc 98.00 Tc.upf
C 12.01 C.upf
CELL_PARAMETERS angstrom
3.993 -4.553 0.000
3.993 4.553 0.000
0.000 0.000 5.376
ATOMIC_POSITIONS crystal
La 0.176 0.824 0.750
La 0.824 0.176 0.250
Tc 0.328 0.328 0.000
Tc 0.328 0.328 0.500
Tc 0.672 0.672 0.000
Tc 0.672 0.672 0.500
C 0.097 0.289 0.750
C 0.289 0.097 0.250
C 0.417 0.583 0.250
C 0.583 0.417 0.750
C 0.711 0.903 0.750
C 0.903 0.711 0.250
```

Properties
raw total energy = -101.9 eV per cell
D(E_F) = 3.68 states/eV/f.u.
crystal system = orthorhombic
calculated formation energy = 0.400 eV per atom

Record 19
## K2NpAsSe5 (PBE-GGA)

Data for K2NpAsSe5 after structural relaxation. Values from VASP.

The structure in Quantum ESPRESSO input format:
```
&SYSTEM
  ibrav = 0, nat = 18, ntyp = 4
/
ATOMIC_SPECIES
K 39.10 K.upf
Np 237.00 Np.upf
As 74.92 As.upf
Se 78.96 Se.upf
CELL_PARAMETERS angstrom
2.174 -9.447 0.000
2.174 9.447 0.000
0.000 0.000 14.267
ATOMIC_POSITIONS crystal
K 0.110 0.890 0.500
K 0.131 0.869 0.152
K 0.869 0.131 0.652
K 0.890 0.110 0.000
Np 0.204 0.796 0.866
Np 0.796 0.204 0.366
As 0.448 0.552 0.259
As 0.552 0.448 0.759
Se 0.059 0.941 0.877
Se 0.290 0.710 0.490
Se 0.317 0.683 0.233
Se 0.340 0.660 0.830
Se 0.498 0.502 0.108
Se 0.502 0.498 0.608
Se 0.660 0.340 0.330
Se 0.683 0.317 0.733
Se 0.710 0.290 0.990
Se 0.941 0.059 0.377
```

Properties
raw total energy = -89.2 eV per cell
D(E_F) = 6.02 states/eV/f.u.
formation energy without anion corrections = -0.8235 eV/atom
crystal system = orthorhombic

Record 20
## Cs2Hg3Cl8 (PBE-GGA)

Data for Cs2Hg3Cl8 after structural relaxation. Values from VASP.

The structure in Quantum ESPRESSO input format:
```
&SYSTEM
  ibrav = 0, nat = 13, ntyp = 3
/
ATOMIC_SPECIES
Cs 132.91 Cs.upf
Hg 200.59 Hg.upf
Cl 35.45 Cl.upf
CELL_PARAMETERS angstrom
7.958 -5.297 0.000
7.958 5.297 0.000
-2.256 0.000 6.025
ATOMIC_POSITIONS crystal
Cs 0.229 0.229 0.072
Cs 0.771 0.771 0.928
Hg 0.186 0.814 0.500
Hg 0.500 0.500 0.000
Hg 0.814 0.186 0.500
Cl 0.106 0.106 0.443
Cl 0.174 0.632 0.144
Cl 0.368 0.826 0.856
Cl 0.369 0.369 0.684
Cl 0.631 0.631 0.316
Cl 0.632 0.174 0.144
Cl 0.826 0.368 0.856
Cl 0.894 0.894 0.557
```

Properties
raw total energy = -31.2 eV per cell
D(E_F) = 0.00 states/eV/f.u.
formation energy without anion corrections = -1.0616 eV/atom
crystal system = monoclinic